DFT (GGA-PBE) results for a relaxed RbNaTlBi crystal.

Lattice parameters (Å, degrees): 5.826 5.826 5.826 60.00 60.00 60.00
Atoms (fractional coordinates):
Bi1 0.500 0.500 0.500
Na1 0.250 0.250 0.250
Tl1 0.750 0.750 0.750
Rb1 0.000 0.000 0.000

Properties
Total magnetic moment, μB per cell: 0.00
E_tot, eV per atom: -2.37
Space-group type: F-43m
ΔE_f, eV per atom: -0.239
Distance to the lowest polymorph of the same formula, kJ per mole of atoms: 3.8